A plane-wave DFT calculation with PBE was carried out for CeNd3Hg5 after structural relaxation.

Unit cell a=9.4210 b=9.4210 c=6.5362 alpha=90.00 beta=90.00 gamma=120.00
Space group P6_3/mcm (No. 193)
Symmetry-distinct sites (fractional):
Ce (0.0000, 0.0000, 0.0000)
Nd (0.0000, 0.3689, 0.2500)
Hg (0.0000, 0.3014, 0.7500)
Hg (0.3333, 0.6667, 0.0000)

Final energy in eV/cell: -50.55
Formation enthalpy at 0 K in eV/atom: -0.392

=====

A plane-wave DFT calculation with PBE was carried out for NdTh2Ge after structural relaxation.

Unit cell a=4.800 b=4.800 c=4.848 alpha=90.00 beta=90.00 gamma=90.00
Space group P4/mmm (No. 123)
Symmetry-distinct sites (fractional):
Nd (0.000, 0.000, 0.000)
Th (0.000, 0.500, 0.500)
Ge (0.500, 0.500, 0.000)

Relative energy among the computed polymorphs in eV/f.u.: 0.00
Final energy in eV/cell: -25.24
Formation enthalpy at 0 K in eV/atom: -0.254

=====

A plane-wave DFT calculation with PBE was carried out for AcLaCuHg after structural relaxation.

Unit cell a=7.760 b=7.760 c=7.760 alpha=90.00 beta=90.00 gamma=90.00
Space group F-43m (No. 216)
Symmetry-distinct sites (fractional):
Ac (0.000, 0.000, 0.000)
La (0.000, 0.000, 0.500)
Cu (0.250, 0.250, 0.250)
Hg (0.250, 0.250, 0.750)

Final energy in eV/cell: -57.96
Formation enthalpy at 0 K in eV/atom: -0.264

=====

A plane-wave DFT calculation with PBE was carried out for CePmAg2Te4 after structural relaxation.

Unit cell a=7.673 b=7.716 c=8.429 alpha=90.00 beta=90.00 gamma=90.00
Space group I222 (No. 23)
Symmetry-distinct sites (fractional):
Ce (0.000, 0.000, 0.000)
Pm (0.000, 0.000, 0.500)
Ag (0.000, 0.500, 0.167)
Te (0.241, 0.247, 0.307)

Formation energy from raw total energies in eV/atom: -0.73
Final energy in eV/cell: -69.55

=====

Question: The highest final energy belongs to which entry?
Answer: NdTh2Ge

=====

Please write out number 3 again, unchanged.
A plane-wave DFT calculation with PBE was carried out for AcLaCuHg after structural relaxation.

Unit cell a=7.760 b=7.760 c=7.760 alpha=90.00 beta=90.00 gamma=90.00
Space group F-43m (No. 216)
Symmetry-distinct sites (fractional):
Ac (0.000, 0.000, 0.000)
La (0.000, 0.000, 0.500)
Cu (0.250, 0.250, 0.250)
Hg (0.250, 0.250, 0.750)

Final energy in eV/cell: -57.96
Formation enthalpy at 0 K in eV/atom: -0.264